This record from the Alexandria database describes crystalline Pm3AgAu2 at its relaxed geometry. The functional is GGA-PBE.

The structure in extended XYZ format:
```
12
Lattice="5.243 0.000 0.000 -2.621 4.540 0.000 0.000 0.000 12.801" Properties=species:S:1:pos:R:3 pbc="T T T"
Pm 0.000 0.000 3.159
Pm 0.000 0.000 9.642
Pm 0.000 3.027 5.349
Pm 0.000 3.027 11.791
Pm 2.621 1.513 1.010
Pm 2.621 1.513 7.452
Ag 0.000 3.027 8.580
Ag 2.621 1.513 4.221
Au 0.000 0.000 0.000
Au 0.000 0.000 6.401
Au 0.000 3.027 2.239
Au 2.621 1.513 10.562
```

The space-group type is P-3m1. For the excess energy over the best structure of this formula in the dataset, the calculation gives 0.02 eV/f.u. As for the formation energy: -0.62 eV per atom. For the calculated density, the calculation gives 10.21 Mg/m³.